TaZnRe2, single point on PBEsol structure, DFT meta-GGA SCAN; ΔH_f (0 K) = 0.071 eV/atom; space group = I-4m2 (119); DOS at the Fermi energy = 0.52 states/eV/atom
1.0
-1.292 1.114 3.487
-3.512 0.665 -1.514
1.346 -4.635 -0.181
Zn Re Ta
1 2 1
Direct
0.250 0.750 0.500 Zn
0.000 0.000 0.000 Re
0.750 0.250 0.500 Re
0.500 0.500 0.000 Ta


ScSb2, single point on PBEsol structure, DFT meta-GGA SCAN; space group = C2/m (12); DOS at the Fermi energy = 0.64 states/eV/atom; E_form (uncorrected) = -392 meV per atom
1.0
-1.576 -2.348 1.517
2.322 -2.773 -5.276
5.852 -0.392 5.473
Sb Sc
4 2
Direct
0.278 0.556 0.798 Sb
0.033 0.066 0.781 Sb
0.967 0.934 0.219 Sb
0.722 0.444 0.202 Sb
0.372 0.743 0.491 Sc
0.628 0.257 0.509 Sc


SbPbBrO2, single point on PBEsol structure, DFT meta-GGA SCAN; space group = I4mm (107); DOS at the Fermi energy = 0.00 states/eV/atom; E_form (uncorrected) = -1227 meV per atom
1.0
3.869 0.000 0.000
0.000 3.869 0.000
-1.935 -1.935 6.359
O Pb Br Sb
2 1 1 1
Direct
0.245 0.745 0.490 O
0.745 0.245 0.490 O
0.362 0.362 0.724 Pb
0.002 0.002 0.004 Br
0.670 0.670 0.339 Sb


Zn3Ag, single point on PBEsol structure, DFT meta-GGA SCAN; ΔH_f (0 K) = -0.032 eV/atom; space group = Pmmn (59); DOS at the Fermi energy = 0.18 states/eV/atom
1.0
4.380 0.000 0.000
0.000 4.817 0.000
0.000 0.000 5.479
Zn Ag
6 2
Direct
0.000 0.163 0.752 Zn
0.500 0.837 0.252 Zn
0.500 0.837 0.748 Zn
0.000 0.676 0.500 Zn
0.500 0.324 0.000 Zn
0.000 0.163 0.248 Zn
0.000 0.660 0.000 Ag
0.500 0.340 0.500 Ag


SrHfSbTe2, single point on PBEsol structure, DFT meta-GGA SCAN; space group = P4/mmm (123); DOS at the Fermi energy = 0.60 states/eV/atom; E_form (uncorrected) = -703 meV per atom
1.0
-1.375 -5.175 -1.210
2.761 -1.776 4.458
-4.594 0.508 3.047
Sr Hf Te Sb
1 1 2 1
Direct
0.500 0.500 0.500 Sr
0.000 0.000 0.000 Hf
0.000 0.000 0.500 Te
0.000 0.500 0.000 Te
0.500 0.000 0.000 Sb


Sn2OF, single point on PBEsol structure, DFT meta-GGA SCAN; space group = Fm-3m (225); DOS at the Fermi energy = 0.29 states/eV/atom; E_form (uncorrected) = -687 meV per atom
1.0
-1.646 0.444 4.141
1.483 -2.646 3.295
2.561 1.701 3.256
Sn F O
2 1 1
Direct
0.750 0.750 0.750 Sn
0.250 0.250 0.250 Sn
0.500 0.500 0.500 F
0.000 0.000 0.000 O


Te3Pb, single point on PBEsol structure, DFT meta-GGA SCAN; space group = C2/m (12); DOS at the Fermi energy = 0.37 states/eV/atom; E_form (uncorrected) = -123 meV per atom
1.0
-0.933 4.096 1.625
-2.251 0.985 -3.777
-3.755 -4.773 3.633
Te Pb
3 1
Direct
0.500 0.500 0.000 Te
0.750 0.750 0.500 Te
0.250 0.250 0.500 Te
0.000 0.000 0.000 Pb


LaPt2Rh, single point on PBEsol structure, DFT meta-GGA SCAN; ΔH_f (0 K) = -0.836 eV/atom; space group = R3m (160); DOS at the Fermi energy = 0.40 states/eV/atom
1.0
-2.189 -1.469 3.618
4.470 -0.168 -0.134
-2.035 4.927 0.769
La Pt Rh
1 2 1
Direct
0.751 0.502 0.254 La
0.237 0.474 0.711 Pt
0.951 0.903 0.855 Pt
0.561 0.121 0.681 Rh